K3Ba5Cl12 | Alexandria via LeMat-Bulk | PBE-GGA | relaxed; D(E_F) = 2.12 states/eV/f.u.; magnetic moment = 0.00 μB per atom; raw formation energy = -2.156 eV per atom; DFT total energy = -3.9093 eV per atom
1.0
-9.444 9.444 9.444
9.444 -9.444 9.444
9.444 9.444 -9.444
K Ba Cl
12 20 48
direct
0.125 0.250 0.375
0.125 0.375 0.750
0.250 0.375 0.125
0.250 0.875 0.625
0.375 0.125 0.250
0.375 0.750 0.125
0.625 0.250 0.875
0.625 0.875 0.750
0.750 0.125 0.375
0.750 0.625 0.875
0.875 0.625 0.250
0.875 0.750 0.625
0.000 0.000 0.000
0.000 0.000 0.500
0.000 0.500 0.000
0.000 0.500 0.500
0.125 0.750 0.875
0.125 0.875 0.250
0.250 0.125 0.875
0.250 0.625 0.375
0.375 0.250 0.625
0.375 0.625 0.750
0.500 0.000 0.000
0.500 0.000 0.500
0.500 0.500 0.000
0.500 0.500 0.500
0.625 0.375 0.250
0.625 0.750 0.375
0.750 0.375 0.625
0.750 0.875 0.125
0.875 0.125 0.750
0.875 0.250 0.125
0.041 0.212 0.133
0.041 0.329 0.908
0.079 0.712 0.671
0.079 0.867 0.408
0.092 0.633 0.421
0.092 0.959 0.671
0.133 0.041 0.212
0.133 0.592 0.921
0.171 0.212 0.579
0.171 0.459 0.592
0.212 0.133 0.041
0.212 0.579 0.171
0.288 0.329 0.921
0.288 0.459 0.367
0.329 0.908 0.041
0.329 0.921 0.288
0.367 0.288 0.459
0.367 0.579 0.908
0.408 0.079 0.867
0.408 0.829 0.541
0.421 0.092 0.633
0.421 0.829 0.788
0.459 0.367 0.288
0.459 0.592 0.171
0.541 0.408 0.829
0.541 0.633 0.712
0.579 0.171 0.212
0.579 0.908 0.367
0.592 0.171 0.459
0.592 0.921 0.133
0.633 0.421 0.092
0.633 0.712 0.541
0.671 0.079 0.712
0.671 0.092 0.959
0.712 0.541 0.633
0.712 0.671 0.079
0.788 0.421 0.829
0.788 0.867 0.959
0.829 0.541 0.408
0.829 0.788 0.421
0.867 0.408 0.079
0.867 0.959 0.788
0.908 0.041 0.329
0.908 0.367 0.579
0.921 0.133 0.592
0.921 0.288 0.329
0.959 0.671 0.092
0.959 0.788 0.867